! ThV2CuO8 (GGA+U, optimized geometry); values from VASP
&SYSTEM
  ibrav = 0, nat = 12, ntyp = 4
/
ATOMIC_SPECIES
Th 232.04 Th.upf
V 50.94 V.upf
Cu 63.55 Cu.upf
O 16.00 O.upf
CELL_PARAMETERS angstrom
-4.703 -3.195 -1.469
3.019 -1.286 4.870
-3.517 3.722 3.163
ATOMIC_POSITIONS crystal
Th 0.000 0.000 0.000
V 0.667 0.333 0.355
V 0.333 0.667 0.645
Cu 0.000 0.000 0.500
O 0.836 0.164 0.266
O 0.836 0.671 0.266
O 0.329 0.164 0.266
O 0.671 0.836 0.734
O 0.333 0.667 0.374
O 0.667 0.333 0.626
O 0.164 0.836 0.734
O 0.164 0.329 0.734
! - Crystal system: trigonal
! - Energy: -7.5056 eV per atom